Entry 1:
Sr2CrH | GGA-PBE | relaxed

a = 5.549 Å, b = 5.549 Å, c = 5.549 Å
α = 60.00°, β = 60.00°, γ = 60.00°
Fractional coordinates of all 4 atoms:
Sr (0.250, 0.250, 0.250)
Sr (0.750, 0.750, 0.750)
Cr (0.000, 0.000, 0.000)
H (0.500, 0.500, 0.500)

Properties
energy relative to the lowest polymorph listed for this composition	0.300	eV per atom
calculated volume	30.20	Å³ per atom
DOS at the Fermi energy	4.48	states/eV/cell
space-group type	Fm-3m (225)

=====

Entry 2:
ZnTeIr2 | GGA-PBE | relaxed

a = 4.890 Å, b = 4.890 Å, c = 4.424 Å
α = 104.50°, β = 104.50°, γ = 40.81°
Fractional coordinates of all 4 atoms:
Zn (0.000, 0.000, 0.000)
Te (0.237, 0.237, 0.627)
Ir (0.502, 0.502, 0.488)
Ir (0.734, 0.734, 0.097)

Properties
energy relative to the lowest polymorph listed for this composition	0.016	eV per atom
raw formation energy	0.20	eV/atom
calculated volume	16.65	Å³ per atom
DOS at the Fermi energy	2.39	states/eV/cell
space-group type	Cm (8)

=====

Entry 3:
NdEr3Tm2Bi6 | GGA-PBE | relaxed

a = 9.992 Å, b = 9.992 Å, c = 8.942 Å
α = 102.88°, β = 102.88°, γ = 25.85°
Fractional coordinates of all 12 atoms:
Nd (0.000, 0.000, 0.000)
Er (0.000, 0.000, 0.500)
Er (0.335, 0.335, 0.168)
Er (0.665, 0.665, 0.832)
Tm (0.333, 0.333, 0.667)
Tm (0.667, 0.667, 0.333)
Bi (0.167, 0.167, 0.582)
Bi (0.170, 0.170, 0.085)
Bi (0.499, 0.499, 0.742)
Bi (0.501, 0.501, 0.258)
Bi (0.830, 0.830, 0.915)
Bi (0.833, 0.833, 0.418)

Properties
calculated formation energy	-950	kJ/mol of formula units
calculated volume	31.58	Å³ per atom
DOS at the Fermi energy	2.00	states/eV/cell
space-group type	C2/m (12)